# 1
A plane-wave DFT calculation with GGA-PBE was carried out for an optimized crystal structure of TbIr.

Results
As for the energy of formation from the pure elements: 0.208 eV/atom. The calculation puts the total energy at -6.534 eV per atom. The value obtained for the magnetic moment is 0.00 μB per cell.

The structure in CIF format:
```
data_TbIr
_chemical_formula_sum 'Tb4 Ir4'
_symmetry_space_group_name_H-M 'F -4 3 m'
_symmetry_Int_Tables_number 216
_symmetry_space_group_name_Hall 'F -4 2 3'
_cell_length_a 6.223
_cell_length_b 6.223
_cell_length_c 6.223
_cell_angle_alpha 90.00
_cell_angle_beta 90.00
_cell_angle_gamma 90.00
loop_
_atom_site_label
_atom_site_fract_x
_atom_site_fract_y
_atom_site_fract_z
Tb1 0.000 0.000 0.000
Ir1 0.250 0.250 0.250
```

---

# 2
A plane-wave DFT calculation with GGA-PBE was carried out for an optimized crystal structure of Hf3ZnIn2PdPt2.

Results
The calculation puts the total energy at -6.718 eV per atom. The value obtained for the magnetic moment is 0.00 μB per cell.

The structure in CIF format:
```
data_Hf3ZnIn2PdPt2
_chemical_formula_sum 'Hf6 Zn2 In4 Pd2 Pt4'
_symmetry_space_group_name_H-M 'A m m 2'
_symmetry_Int_Tables_number 38
_symmetry_space_group_name_Hall 'A 2 -2'
_cell_length_a 3.446
_cell_length_b 13.040
_cell_length_c 7.492
_cell_angle_alpha 90.00
_cell_angle_beta 90.00
_cell_angle_gamma 90.00
loop_
_atom_site_label
_atom_site_fract_x
_atom_site_fract_y
_atom_site_fract_z
Hf1 0.000 0.000 0.000
Hf2 0.000 0.191 0.627
Zn1 0.500 0.000 0.693
In1 0.500 0.132 0.282
Pd1 0.000 0.000 0.438
Pt1 0.500 0.165 0.912
```

---

# 3
A plane-wave DFT calculation with GGA-PBE was carried out for an optimized crystal structure of Tm3CdHg2.

Results
As for the energy of formation from the pure elements: -0.427 eV/atom. The calculation puts the total energy at -2.912 eV per atom. The value obtained for the magnetic moment is 0.04 μB per cell.

The structure in CIF format:
```
data_Tm3CdHg2
_chemical_formula_sum 'Tm3 Cd1 Hg2'
_symmetry_space_group_name_H-M 'P 4/m m m'
_symmetry_Int_Tables_number 123
_symmetry_space_group_name_Hall '-P 4 2'
_cell_length_a 3.679
_cell_length_b 3.679
_cell_length_c 11.018
_cell_angle_alpha 90.00
_cell_angle_beta 90.00
_cell_angle_gamma 90.00
loop_
_atom_site_label
_atom_site_fract_x
_atom_site_fract_y
_atom_site_fract_z
Tm1 0.000 0.000 0.000
Tm2 0.000 0.000 0.331
Cd1 0.500 0.500 0.500
Hg1 0.500 0.500 0.169
```

---

# 4
A plane-wave DFT calculation with GGA-PBE was carried out for an optimized crystal structure of NdCdNi.

Results
As for the energy of formation from the pure elements: -0.206 eV/atom. The calculation puts the total energy at -3.948 eV per atom. The value obtained for the magnetic moment is 0.02 μB per cell.

The structure in CIF format:
```
data_NdCdNi
_chemical_formula_sum 'Nd4 Cd4 Ni4'
_symmetry_space_group_name_H-M 'F -4 3 m'
_symmetry_Int_Tables_number 216
_symmetry_space_group_name_Hall 'F -4 2 3'
_cell_length_a 6.550
_cell_length_b 6.550
_cell_length_c 6.550
_cell_angle_alpha 90.00
_cell_angle_beta 90.00
_cell_angle_gamma 90.00
loop_
_atom_site_label
_atom_site_fract_x
_atom_site_fract_y
_atom_site_fract_z
Nd1 0.000 0.000 0.000
Cd1 0.000 0.000 0.500
Ni1 0.250 0.250 0.750
```

---

What did the fourth record say?
A plane-wave DFT calculation with GGA-PBE was carried out for an optimized crystal structure of NdCdNi.

Results
As for the energy of formation from the pure elements: -0.206 eV/atom. The calculation puts the total energy at -3.948 eV per atom. The value obtained for the magnetic moment is 0.02 μB per cell.

The structure in CIF format:
```
data_NdCdNi
_chemical_formula_sum 'Nd4 Cd4 Ni4'
_symmetry_space_group_name_H-M 'F -4 3 m'
_symmetry_Int_Tables_number 216
_symmetry_space_group_name_Hall 'F -4 2 3'
_cell_length_a 6.550
_cell_length_b 6.550
_cell_length_c 6.550
_cell_angle_alpha 90.00
_cell_angle_beta 90.00
_cell_angle_gamma 90.00
loop_
_atom_site_label
_atom_site_fract_x
_atom_site_fract_y
_atom_site_fract_z
Nd1 0.000 0.000 0.000
Cd1 0.000 0.000 0.500
Ni1 0.250 0.250 0.750
```